Entry 1:
{
  "formula": "YHgCl2",
  "functional": "PBEsol",
  "state": "optimized geometry",
  "cell": [[4.0797, 0.0000, 0.0000], [0.0000, 4.3576, 0.0000], [0.0000, 0.0000, 4.9162]],
  "species": ["Y", "Cl", "Hg", "Cl"],
  "fractional_positions": [[0.0000, 0.5000, 0.5000], [0.0000, 0.0000, 0.0000], [0.5000, 0.5000, 0.0000], [0.5000, 0.0000, 0.5000]],
  "relative_energy_kj_per_mol_fu": 81
}

Entry 2:
{
  "formula": "YHgCl2",
  "functional": "PBEsol",
  "state": "optimized geometry",
  "cell": [[3.6485, 0.0000, 0.0806], [0.0000, 3.8617, 0.0000], [-0.1749, 0.0000, 8.9048]],
  "species": ["Hg", "Cl", "Y", "Cl"],
  "fractional_positions": [[0.5000, 0.5000, 0.5000], [0.9959, 0.0000, 0.8033], [0.0000, 0.5000, 0.0000], [0.0041, 0.0000, 0.1967]],
  "relative_energy_kj_per_mol_fu": 0
}

Entry 3:
{
  "formula": "Y4HgCl",
  "functional": "PBEsol",
  "state": "optimized geometry",
  "cell": [[6.2410, 0.0000, 0.0000], [3.1205, 5.4049, 0.0000], [3.1205, 1.8016, 5.0958]],
  "species": ["Y", "Y", "Cl", "Y", "Y", "Hg"],
  "fractional_positions": [[0.3733, 0.3733, 0.8800], [0.8800, 0.3733, 0.3733], [0.7500, 0.7500, 0.7500], [0.3733, 0.8800, 0.3733], [0.3733, 0.3733, 0.3733], [0.0000, 0.0000, 0.0000]]
}

Entry 4:
{
  "formula": "YHgCl2",
  "functional": "PBEsol",
  "state": "optimized geometry",
  "cell": [[-2.5701, 0.9173, 2.4756], [-0.0458, -3.2919, -1.5696], [5.9252, -3.6625, 7.5086]],
  "species": ["Cl", "Hg", "Y", "Cl"],
  "fractional_positions": [[0.0000, 0.0000, 0.8161], [0.5000, 0.0000, 0.5000], [0.5000, 0.0000, 0.0000], [0.0000, 0.0000, 0.1839]],
  "relative_energy_kj_per_mol_fu": 3
}

Entry 5:
{
  "formula": "Zn2HgCl",
  "functional": "PBEsol",
  "state": "optimized geometry",
  "cell": [[3.8153, 0.0000, 0.0000], [0.0000, 3.8153, 0.0000], [-1.9077, -1.9077, 5.5290]],
  "species": ["Hg", "Zn", "Cl", "Zn"],
  "fractional_positions": [[0.2500, 0.7500, 0.5000], [0.7500, 0.2500, 0.5000], [0.5000, 0.5000, 0.0000], [0.0000, 0.0000, 0.0000]]
}

Entry 6:
{
  "formula": "ZnHgCl2",
  "functional": "PBEsol",
  "state": "optimized geometry",
  "cell": [[-3.2112, 1.1508, -0.0170], [-0.5664, -1.4997, 5.4715], [1.8070, 5.0335, -0.5842]],
  "species": ["Hg", "Zn", "Cl", "Cl"],
  "fractional_positions": [[0.0000, 0.4612, 0.5340], [0.5000, 0.3175, 0.8431], [0.0000, 0.0570, 0.8927], [0.5000, 0.6644, 0.2302]],
  "relative_energy_kj_per_mol_fu": 36
}

Entry 7:
{
  "formula": "ZnHgCl2",
  "functional": "PBEsol",
  "state": "optimized geometry",
  "cell": [[-4.3404, 0.7069, 2.0232], [-2.1232, -3.5714, 2.4838], [-0.4052, 0.3083, 4.8138]],
  "species": ["Zn", "Hg", "Cl", "Cl"],
  "fractional_positions": [[0.2500, 0.2500, 0.2500], [0.5000, 0.5000, 0.5000], [0.0000, 0.0000, 0.0000], [0.7500, 0.7500, 0.7500]],
  "relative_energy_kj_per_mol_fu": 297
}

Entry 8:
{
  "formula": "ZnHgCl2",
  "functional": "PBEsol",
  "state": "optimized geometry",
  "cell": [[-0.0561, 1.0392, 3.7037], [1.4072, -3.4418, 0.9870], [5.0202, 3.3795, -2.8702]],
  "species": ["Zn", "Cl", "Cl", "Hg"],
  "fractional_positions": [[0.2500, 0.7500, 0.5000], [0.0000, 0.0000, 0.0000], [0.7500, 0.2500, 0.5000], [0.5000, 0.5000, 0.0000]],
  "relative_energy_kj_per_mol_fu": 232
}

Number 1: VASP energy -3.8937 eV/atom, volume 87.4 Å³/f.u., formation energy without anion corrections -1.043 eV per atom. Number 2: VASP energy -4.1030 eV/atom, volume 125.5 Å³/f.u., formation energy without anion corrections -1.252 eV per atom. Number 3: VASP energy -4.7236 eV/atom, volume 171.9 Å³/f.u., formation energy without anion corrections 0.254 eV per atom. Number 4: VASP energy -4.0949 eV/atom, volume 118.8 Å³/f.u., formation energy without anion corrections -1.244 eV per atom. Number 5: VASP energy -1.4209 eV/atom, volume 80.5 Å³/f.u., formation energy without anion corrections 0.014 eV per atom. Number 6: VASP energy -2.1929 eV/atom, volume 96.6 Å³/f.u., formation energy without anion corrections -0.652 eV per atom. Number 7: VASP energy -1.5165 eV/atom, volume 80.2 Å³/f.u., formation energy without anion corrections 0.025 eV per atom. Number 8: VASP energy -1.6856 eV/atom, volume 90.6 Å³/f.u., formation energy without anion corrections -0.144 eV per atom.